1.
ZnCrOs | PBE | relaxed

Space-group type ... Fmm2, No. 42
Density of states at the Fermi level ... 0.799 states/eV per atom
Uncorrected energy ... -7.106 eV/atom
Formation energy from the elements ... 0.270 eV/atom

Geometry as POSCAR:
```
ZnCrOs
1.0
2.8537 0.0000 0.0000
0.0000 4.3998 0.0000
0.0000 0.0000 13.1175
Zn Cr Os
4 4 4
direct
0.0000 0.0000 0.0000
0.0000 0.5000 0.5000
0.5000 0.0000 0.5000
0.5000 0.5000 0.0000
0.0000 0.0000 0.3339
0.0000 0.5000 0.8339
0.5000 0.0000 0.8339
0.5000 0.5000 0.3339
0.0000 0.0000 0.6788
0.0000 0.5000 0.1788
0.5000 0.0000 0.1788
0.5000 0.5000 0.6788
```



2.
YHg2Rh2 | PBE | relaxed

Space-group type ... P4/mbm, No. 127
Density of states at the Fermi level ... 0.740 states/eV per atom
Uncorrected energy ... -4.626 eV/atom
Formation energy from the elements ... -0.272 eV/atom

Geometry as POSCAR:
```
YHg2Rh2
1.0
7.1973 0.0000 0.0000
0.0000 7.1973 0.0000
0.0000 0.0000 3.8544
Y Hg Rh
2 4 4
direct
0.0000 0.0000 0.0000
0.5000 0.5000 0.0000
0.1622 0.3378 0.5000
0.3378 0.8378 0.5000
0.6622 0.1622 0.5000
0.8378 0.6622 0.5000
0.1343 0.6343 0.0000
0.3657 0.1343 0.0000
0.6343 0.8657 0.0000
0.8657 0.3657 0.0000
```



3.
MnSn3I | PBE | relaxed

Space-group type ... Pm-3m, No. 221
Raw formation energy ... -0.020 eV/atom
Density of states at the Fermi level ... 0.000 states/eV per atom
Uncorrected energy ... -4.566 eV/atom

Geometry as POSCAR:
```
MnSn3I
1.0
5.0027 0.0000 0.0000
0.0000 5.0027 0.0000
0.0000 0.0000 5.0027
Mn Sn I
1 3 1
direct
0.0000 0.0000 0.0000
0.0000 0.0000 0.5000
0.0000 0.5000 0.0000
0.5000 0.0000 0.0000
0.5000 0.5000 0.5000
```



4.
RbInSb3 | PBE | relaxed

Space-group type ... Pm-3m, No. 221
Raw formation energy ... 0.304 eV/atom
Density of states at the Fermi level ... 0.925 states/eV per atom
Uncorrected energy ... -2.910 eV/atom

Geometry as POSCAR:
```
RbInSb3
1.0
5.7808 0.0000 0.0000
0.0000 5.7808 0.0000
0.0000 0.0000 5.7808
Rb In Sb
1 1 3
direct
0.0000 0.0000 0.0000
0.5000 0.5000 0.5000
0.0000 0.5000 0.5000
0.5000 0.0000 0.5000
0.5000 0.5000 0.0000
```



5.
LiGa2Au2 | PBE | relaxed

Space-group type ... P4/mbm, No. 127
Density of states at the Fermi level ... 0.494 states/eV per atom
Uncorrected energy ... -3.170 eV/atom
Formation energy from the elements ... -0.266 eV/atom

Geometry as POSCAR:
```
LiGa2Au2
1.0
7.5818 0.0000 0.0000
0.0000 7.5818 0.0000
0.0000 0.0000 3.1388
Li Ga Au
2 4 4
direct
0.0000 0.0000 0.0000
0.5000 0.5000 0.0000
0.1247 0.3753 0.0000
0.3753 0.8753 0.0000
0.6247 0.1247 0.0000
0.8753 0.6247 0.0000
0.1804 0.6804 0.5000
0.3196 0.1804 0.5000
0.6804 0.8196 0.5000
0.8196 0.3196 0.5000
```



6.
ScCdTe2 | PBE | relaxed

Space-group type ... P4mm, No. 99
Raw formation energy ... -0.699 eV/atom
Density of states at the Fermi level ... 0.520 states/eV per atom
Uncorrected energy ... -4.082 eV/atom

Geometry as POSCAR:
```
ScCdTe2
1.0
4.2366 0.0000 0.0000
0.0000 4.2366 0.0000
0.0000 0.0000 6.1748
Sc Cd Te
1 1 2
direct
0.0000 0.0000 0.0000
0.5000 0.5000 0.5022
0.0000 0.0000 0.5002
0.5000 0.5000 0.0016
```



7.
K2Ca2TaO6 | PBE | relaxed

Space-group type ... C2/m, No. 12
Raw formation energy ... -2.428 eV/atom
Density of states at the Fermi level ... 0.817 states/eV per atom
Uncorrected energy ... -6.773 eV/atom

Geometry as POSCAR:
```
K2Ca2TaO6
1.0
2.9620 -5.0275 0.0000
2.9620 5.0275 0.0000
-2.0422 0.0000 6.2703
K Ca Ta O
2 2 1 6
direct
0.1691 0.8309 0.0000
0.8309 0.1691 0.0000
0.3382 0.6618 0.5000
0.6618 0.3382 0.5000
0.0000 0.0000 0.5000
0.0530 0.3488 0.6754
0.2243 0.2243 0.3244
0.3488 0.0530 0.6754
0.6512 0.9470 0.3246
0.7757 0.7757 0.6756
0.9470 0.6512 0.3246
```



8.
KSb2Os | PBE | relaxed

Space-group type ... P4mm, No. 99
Raw formation energy ... 0.311 eV/atom
Density of states at the Fermi level ... 0.802 states/eV per atom
Uncorrected energy ... -4.832 eV/atom

Geometry as POSCAR:
```
KSb2Os
1.0
3.3432 0.0000 0.0000
0.0000 3.3432 0.0000
0.0000 0.0000 9.9671
K Sb Os
1 2 1
direct
0.0000 0.0000 0.0000
0.0000 0.0000 0.3437
0.5000 0.5000 0.7335
0.5000 0.5000 0.4746
```



9.
Na3HfIn | PBE | relaxed

Space-group type ... Pm-3m, No. 221
Density of states at the Fermi level ... 1.861 states/eV per atom
Uncorrected energy ... -2.024 eV/atom
Formation energy from the elements ... 1.306 eV/atom

Geometry as POSCAR:
```
Na3HfIn
1.0
6.0624 0.0000 0.0000
0.0000 6.0624 0.0000
0.0000 0.0000 6.0624
Na Hf In
3 1 1
direct
0.0000 0.0000 0.5000
0.0000 0.5000 0.0000
0.5000 0.0000 0.0000
0.0000 0.0000 0.0000
0.5000 0.5000 0.5000
```



10.
CaPuIn6 | PBE | relaxed

Space-group type ... P-6m2, No. 187
Density of states at the Fermi level ... 1.606 states/eV per atom
Uncorrected energy ... -4.343 eV/atom
Formation energy from the elements ... -0.247 eV/atom

Geometry as POSCAR:
```
CaPuIn6
1.0
6.6546 0.0000 0.0000
-3.3273 5.7631 0.0000
0.0000 0.0000 5.3698
Ca Pu In
1 1 6
direct
0.0000 0.0000 0.0000
0.6667 0.3333 0.5000
0.0102 0.5051 0.0000
0.1703 0.3405 0.5000
0.1703 0.8297 0.5000
0.4949 0.5051 0.0000
0.4949 0.9898 0.0000
0.6595 0.8297 0.5000
```



11.
Mg2PW | PBE | relaxed

Space-group type ... Cmmm, No. 65
Density of states at the Fermi level ... 0.497 states/eV per atom
Uncorrected energy ... -5.176 eV/atom
Formation energy from the elements ... 0.212 eV/atom

Geometry as POSCAR:
```
Mg2PW
1.0
3.6632 0.0000 0.0000
0.0000 4.3132 0.0000
0.0000 0.0000 8.5258
Mg P W
4 2 2
direct
0.0000 0.0000 0.2410
0.0000 0.0000 0.7590
0.5000 0.5000 0.2410
0.5000 0.5000 0.7590
0.0000 0.5000 0.0000
0.5000 0.0000 0.0000
0.0000 0.5000 0.5000
0.5000 0.0000 0.5000
```



12.
KLiAc2O5 | PBE | relaxed

Space-group type ... I4/mcm, No. 140
Raw formation energy ... -2.269 eV/atom
Density of states at the Fermi level ... 0.033 states/eV per atom
Uncorrected energy ... -6.271 eV/atom

Geometry as POSCAR:
```
KLiAc2O5
1.0
-3.5722 3.5722 6.0703
3.5722 -3.5722 6.0703
3.5722 3.5722 -6.0703
K Li Ac O
2 2 4 10
direct
0.2500 0.2500 0.0000
0.7500 0.7500 0.0000
0.2500 0.7500 0.5000
0.7500 0.2500 0.5000
0.1817 0.6817 0.8634
0.3183 0.1817 0.5000
0.6817 0.8183 0.5000
0.8183 0.3183 0.1366
0.0000 0.0000 0.0000
0.0062 0.7413 0.5000
0.2413 0.5062 0.5000
0.2587 0.7587 0.2650
0.4938 0.9938 0.7350
0.5000 0.5000 0.0000
0.5062 0.0062 0.2650
0.7413 0.2413 0.7350
0.7587 0.4938 0.5000
0.9938 0.2587 0.5000
```